Compound: Pr3Se
Source: Alexandria
Functional: PBE-GGA
Structure: relaxed

The final energy comes out at -5.196 eV/atom. Its formation energy without anion corrections is -3.0 eV/f.u.

The space group is Imm2 (No. 44) and the conventional cell measures 3.855, 9.761 and 6.660 Å, with angles of 90.00, 90.00 and 90.00 degrees. The asymmetric unit holds Pr at (0.000, 0.000, 0.000), Pr at (0.000, 0.196, 0.425) and Se at (0.000, 0.500, 0.159).

Compound: Ce2CuGe3
Source: Alexandria
Functional: PBE-GGA
Structure: relaxed

The final energy comes out at -5.568 eV/atom.

The space group is P-6m2 (No. 187) and the conventional cell measures 4.2774, 4.2774 and 8.0214 Å, with angles of 90.00, 90.00 and 120.00 degrees. The asymmetric unit holds Ce at (0.0000, 0.0000, 0.2469), Cu at (0.3333, 0.6667, 0.0000), Ge at (0.3333, 0.6667, 0.5000), Ge at (0.6667, 0.3333, 0.0000) and Ge at (0.6667, 0.3333, 0.5000).

Compound: CsCuSCl2
Source: Alexandria
Functional: PBE-GGA
Structure: relaxed

The final energy comes out at -1.960 eV/atom. Its formation energy without anion corrections is 3.0 eV/f.u.

The space group is P4/mmm (No. 123) and the conventional cell measures 6.280, 6.280 and 5.611 Å, with angles of 90.00, 90.00 and 90.00 degrees. The asymmetric unit holds Cs at (0.000, 0.000, 0.000), Cu at (0.500, 0.500, 0.500), S at (0.000, 0.000, 0.500) and Cl at (0.000, 0.500, 0.000).

Compound: ErZrTc
Source: Alexandria
Functional: PBE-GGA
Structure: relaxed

The final energy comes out at -7.985 eV/atom.

The space group is I4mm (No. 107) and the conventional cell measures 3.387, 3.387 and 11.578 Å, with angles of 90.00, 90.00 and 90.00 degrees. The asymmetric unit holds Er at (0.000, 0.000, 0.000), Zr at (0.000, 0.000, 0.274) and Tc at (0.000, 0.000, 0.655).

Compound: B2PC
Source: Alexandria
Functional: PBE-GGA
Structure: relaxed

The final energy comes out at -6.735 eV/atom.

The space group is Cm (No. 8) and the conventional cell measures 5.122, 2.937 and 5.118 Å, with angles of 90.00, 110.40 and 90.00 degrees. The asymmetric unit holds B at (0.000, 0.000, 0.000), B at (0.115, 0.000, 0.368), P at (0.109, 0.500, 0.834) and C at (0.488, 0.000, 0.455).

Compound: La12DyY7
Source: Alexandria
Functional: PBE-GGA
Structure: relaxed

The final energy comes out at -5.267 eV/atom.

The space group is R-3 (No. 148, hexagonal axes) and the conventional cell measures 12.5403, 12.5403 and 15.5150 Å, with angles of 90.00, 90.00 and 120.00 degrees. The asymmetric unit holds La at (0.0135, 0.4398, 0.2206), La at (0.0643, 0.5963, 0.5790), Dy at (0.0000, 0.0000, 0.5000), Y at (0.0000, 0.0000, 0.0000) and Y at (0.0515, 0.1840, 0.3064).

Compound: Sr2ReN4
Source: Alexandria
Functional: PBE-GGA
Structure: relaxed

The final energy comes out at -7.516 eV/atom. Its formation energy without anion corrections is -3.5 eV/f.u.

The space group is Ama2 (No. 40) and the conventional cell measures 8.085, 9.977 and 6.137 Å, with angles of 90.00, 90.00 and 90.00 degrees. The asymmetric unit holds Sr at (0.000, 0.000, 0.000), Sr at (0.250, 0.171, 0.494), Re at (0.250, 0.313, 0.003), N at (0.070, 0.324, 0.181), N at (0.250, 0.142, 0.894) and N at (0.250, 0.434, 0.775).

Compound: Er4Pb3
Source: Alexandria
Functional: PBE-GGA
Structure: relaxed

The final energy comes out at -4.396 eV/atom.

The space group is C2/m (No. 12) and the conventional cell measures 15.170, 4.413 and 6.776 Å, with angles of 90.00, 106.60 and 90.00 degrees. The asymmetric unit holds Er at (0.065, 0.000, 0.324), Er at (0.142, 0.500, 0.753), Pb at (0.000, 0.500, 0.000) and Pb at (0.217, 0.500, 0.297).

Look up the final energy of the first one.
-5.196 eV/atom

What is the formula in the second record?
Ce2CuGe3

Number 8 is which compound?
Er4Pb3